(1)
A relaxed structure of Ta3ReTc2, computed with PBE.

## Properties
**DFT formation energy**: -2.83 eV per formula unit
**Crystal system**: tetragonal
**DOS(E_F)**: 1.637 states/eV per cell

Cell: 3.193 3.193 9.571 Å, 90.00 90.00 90.00°
Space group P4/mmm (No. 123)
Unique sites:
1 Ta 0.000 0.000 0.000 (multiplicity 1)
2 Ta 0.000 0.000 0.333 (multiplicity 2)
3 Re 0.500 0.500 0.500 (multiplicity 1)
4 Tc 0.500 0.500 0.166 (multiplicity 2)

***

(2)
A relaxed structure of ZrPAu2, computed with PBE.

## Properties
**DFT formation energy**: -1.27 eV per formula unit
**Crystal system**: orthorhombic
**DOS(E_F)**: 5.410 states/eV per cell

Cell: 4.643 4.905 6.559 Å, 90.00 90.00 90.00°
Space group Imm2 (No. 44)
Unique sites:
1 Zr 0.000 0.000 0.000 (multiplicity 2)
2 P 0.000 0.500 0.165 (multiplicity 2)
3 Au 0.000 0.000 0.511 (multiplicity 2)
4 Au 0.000 0.500 0.746 (multiplicity 2)

***

(3)
A relaxed structure of CsAuSe2F, computed with PBE.

## Properties
**Crystal system**: triclinic
**DOS(E_F)**: 1.548 states/eV per cell
**Formation energy (no corrections)**: -95.1 kJ/mol of atoms

Cell: 3.923 4.459 8.286 Å, 82.37 89.96 89.96°
Space group P1 (No. 1)
Unique sites:
1 Cs 0.000 0.000 0.000 (multiplicity 1)
2 Au 0.002 0.488 0.523 (multiplicity 1)
3 Se 0.502 0.183 0.410 (multiplicity 1)
4 Se 0.502 0.790 0.639 (multiplicity 1)
5 F 0.500 0.497 0.932 (multiplicity 1)

***

(4)
A relaxed structure of TiZn4Ag, computed with PBE.

## Properties
**DFT formation energy**: 0.06 eV per formula unit
**Crystal system**: cubic
**DOS(E_F)**: 15.001 states/eV per cell

Cell: 7.208 7.208 7.208 Å, 90.00 90.00 90.00°
Space group F-43m (No. 216)
Unique sites:
1 Ti 0.000 0.000 0.000 (multiplicity 4)
2 Zn 0.126 0.126 0.374 (multiplicity 16)
3 Ag 0.250 0.250 0.750 (multiplicity 4)

***

(5)
A relaxed structure of LiMg30BiO32, computed with PBE.

## Properties
**Crystal system**: tetragonal
**DOS(E_F)**: 0.000 states/eV per cell
**Formation energy (no corrections)**: -250.4 kJ/mol of atoms

Cell: 8.597 8.597 8.593 Å, 90.00 90.00 90.00°
Space group P4/mmm (No. 123)
Unique sites:
1 Li 0.000 0.000 0.000 (multiplicity 1)
2 Mg 0.000 0.000 0.500 (multiplicity 1)
3 Mg 0.000 0.246 0.248 (multiplicity 8)
4 Mg 0.000 0.500 0.000 (multiplicity 2)
5 Mg 0.000 0.500 0.500 (multiplicity 2)
6 Mg 0.239 0.239 0.000 (multiplicity 4)
7 Mg 0.241 0.500 0.257 (multiplicity 8)
8 Mg 0.248 0.248 0.500 (multiplicity 4)
9 Mg 0.500 0.500 0.500 (multiplicity 1)
10 Bi 0.500 0.500 0.000 (multiplicity 1)
11 O 0.000 0.000 0.258 (multiplicity 2)
12 O 0.000 0.251 0.500 (multiplicity 4)
13 O 0.000 0.255 0.000 (multiplicity 4)
14 O 0.000 0.500 0.254 (multiplicity 4)
15 O 0.234 0.500 0.000 (multiplicity 4)
16 O 0.248 0.500 0.500 (multiplicity 4)
17 O 0.251 0.251 0.249 (multiplicity 8)
18 O 0.500 0.500 0.267 (multiplicity 2)

***

(6)
A relaxed structure of Rb3Ac3PtO8, computed with PBE.

## Properties
**Crystal system**: trigonal
**Formation energy (no corrections)**: -201.1 kJ/mol of atoms

Cell: 7.4255 7.4255 19.8819 Å, 90.00 90.00 120.00°
Space group R-3m (No. 166, hexagonal axes)
Unique sites:
1 Rb 0.0000 0.5000 0.0000 (multiplicity 9)
2 Ac 0.0000 0.5000 0.5000 (multiplicity 9)
3 Pt 0.0000 0.0000 0.5000 (multiplicity 3)
4 O 0.0000 0.0000 0.2289 (multiplicity 6)
5 O 0.0448 0.5224 0.2225 (multiplicity 18)